Record 1
TiCuB3 | SCAN | single point on PBEsol structure

Lattice parameters (Å, degrees): 4.0304 4.0304 4.0304 90.00 90.00 90.00
Element x y z (fractional)
B 0.0000 0.5000 0.0000
B 0.0000 0.0000 0.5000
B 0.5000 0.0000 0.0000
Cu 0.5000 0.5000 0.5000
Ti 0.0000 0.0000 0.0000

Results
The total magnetization comes out at 0.00 μB per formula unit. As for the formation energy: 1.787 eV per atom.


Record 2
TiCuB2W | SCAN | single point on PBEsol structure

Lattice parameters (Å, degrees): 3.8763 3.8763 4.2621 90.00 90.00 90.00
Site moments in Bohr magnetons follow the coordinates.
Element x y z (fractional)
B 0.0000 0.5000 0.0000  -0.01
B 0.5000 0.0000 0.0000  -0.01
Cu 0.0000 0.0000 0.5000  0.00
W 0.5000 0.5000 0.5000  0.58
Ti 0.0000 0.0000 0.0000  -0.04

Results
The total magnetization comes out at 0.64 μB per formula unit. As for the formation energy: 1.739 eV per atom.


Record 3
TlCuB3 | SCAN | single point on PBEsol structure

Lattice parameters (Å, degrees): 4.4392 4.4392 4.4392 90.00 90.00 90.00
Element x y z (fractional)
Tl 0.0000 0.0000 0.0000
B 0.0000 0.5000 0.0000
B 0.0000 0.0000 0.5000
B 0.5000 0.0000 0.0000
Cu 0.5000 0.5000 0.5000

Results
The total magnetization comes out at 0.00 μB per formula unit. As for the formation energy: 2.824 eV per atom.


Record 4
TlCuB2 | SCAN | single point on PBEsol structure

Lattice parameters (Å, degrees): 4.1869 4.1869 4.1869 60.00 60.00 60.00
Element x y z (fractional)
Tl 0.5000 0.5000 0.5000
B 0.2500 0.2500 0.2500
B 0.7500 0.7500 0.7500
Cu 0.0000 0.0000 0.0000

Results
The total magnetization comes out at 0.00 μB per formula unit. For the relative energy among the computed polymorphs, the calculation gives 952 meV per atom. As for the formation energy: 1.754 eV per atom.


Record 5
TlCuB2 | SCAN | single point on PBEsol structure

Lattice parameters (Å, degrees): 3.7529 3.7529 7.7950 103.93 103.93 90.00
Element x y z (fractional)
Tl 0.0000 0.0000 0.0000
Tl 0.2500 0.7500 0.5000
B 0.6250 0.3750 0.7500
B 0.1250 0.3750 0.7500
B 0.6250 0.8750 0.2500
B 0.6250 0.3750 0.2500
Cu 0.5000 0.5000 0.0000
Cu 0.7500 0.2500 0.5000

Results
The total magnetization comes out at 0.00 μB per formula unit. For the relative energy among the computed polymorphs, the calculation gives 0 meV per atom. As for the formation energy: 0.802 eV per atom.


Record 6
CuB2W | SCAN | single point on PBEsol structure

Lattice parameters (Å, degrees): 3.8032 3.8032 3.8032 60.00 60.00 60.00
Element x y z (fractional)
B 0.2500 0.2500 0.2500
B 0.7500 0.7500 0.7500
Cu 0.0000 0.0000 0.0000
W 0.5000 0.5000 0.5000

Results
The total magnetization comes out at 0.00 μB per formula unit. As for the formation energy: 0.723 eV per atom.


Record 7
DyB4 | SCAN | single point on PBEsol structure

Lattice parameters (Å, degrees): 3.9856 7.0565 7.0565 90.00 90.00 90.00
Element x y z (fractional)
Dy 0.0000 0.1833 0.6833
Dy 0.0000 0.6833 0.8167
Dy 0.0000 0.3167 0.1833
Dy 0.0000 0.8167 0.3167
B 0.5000 0.3236 0.4612
B 0.5000 0.6764 0.5388
B 0.5000 0.5388 0.3236
B 0.5000 0.4612 0.6764
B 0.2030 0.0000 0.0000
B 0.7970 0.5000 0.5000
B 0.7970 0.0000 0.0000
B 0.2030 0.5000 0.5000
B 0.5000 0.5868 0.0868
B 0.5000 0.0868 0.4132
B 0.5000 0.9132 0.5868
B 0.5000 0.4132 0.9132
B 0.5000 0.0388 0.1764
B 0.5000 0.1764 0.9612
B 0.5000 0.8236 0.0388
B 0.5000 0.9612 0.8236

Results
The total magnetization comes out at 0.00 μB per formula unit. As for the formation energy: -0.664 eV per atom.


Record 8
Dy4B4O11F2 | SCAN | single point on PBEsol structure

Lattice parameters (Å, degrees): 4.5667 7.0231 13.5504 91.44 90.00 108.97
Element x y z (fractional)
Dy 0.5393 0.1174 0.3699
Dy 0.4219 0.8826 0.1301
Dy 0.4607 0.8826 0.6301
Dy 0.5781 0.1174 0.8699
Dy 0.2644 0.5613 0.3697
Dy 0.7031 0.4387 0.1303
Dy 0.7356 0.4387 0.6303
Dy 0.2969 0.5613 0.8697
B 0.9310 0.8127 0.2871
B 0.1183 0.1873 0.2129
B 0.0690 0.1873 0.7129
B 0.8817 0.8127 0.7871
B 0.1398 0.1924 0.5223
B 0.9474 0.8076 0.9777
B 0.8602 0.8076 0.4777
B 0.0526 0.1924 0.0223
O 0.0517 0.8259 0.3957
O 0.2258 0.1741 0.1043
O 0.9483 0.1741 0.6043
O 0.7742 0.8259 0.8957
O 0.3635 0.3553 0.2562
O 0.0082 0.6447 0.2438
O 0.6365 0.6447 0.7438
O 0.9918 0.3553 0.7562
O 0.4172 0.1587 0.5335
O 0.2584 0.8413 0.9665
O 0.5828 0.8413 0.4665
O 0.7416 0.1587 0.0335
O 0.1605 0.0000 0.2500
O 0.8395 0.0000 0.7500
O 0.0536 0.2308 0.4300
O 0.8228 0.7692 0.0700
O 0.9464 0.7692 0.5700
O 0.1772 0.2308 0.9300
O 0.6177 0.8049 0.2771
O 0.8128 0.1951 0.2229
O 0.3823 0.1951 0.7229
O 0.1872 0.8049 0.7771
F 0.7039 0.4620 0.4227
F 0.2419 0.5380 0.0773
F 0.2961 0.5380 0.5773
F 0.7581 0.4620 0.9227

Results
The raw formation energy comes out at -3.461 eV per atom. The total magnetization comes out at 0.00 μB per formula unit.